No. 1
The following is a DFT calculation (GGA-PBE) of an optimized crystal structure of Er2ZrSc3.

POSCAR file:
```
Er2ZrSc3
1.0
-3.816 2.844 3.179
-4.969 -3.188 -3.111
2.723 -4.290 7.199
Er Zr Sc
4 2 6
Direct
0.585 0.532 0.326 Er
0.085 0.793 0.326 Er
0.915 0.207 0.674 Er
0.415 0.468 0.674 Er
0.750 0.111 0.000 Zr
0.250 0.889 0.000 Zr
0.250 0.366 0.000 Sc
0.750 0.634 0.000 Sc
0.080 0.282 0.321 Sc
0.420 0.961 0.679 Sc
0.580 0.039 0.321 Sc
0.920 0.718 0.679 Sc
```

Properties
final energy = -6.066 eV/atom
crystal system = monoclinic
symmetry = C2/c
total magnetic moment = 0.0 μB per formula unit
ΔE_f = 0.05 eV/atom


No. 2
The following is a DFT calculation (GGA-PBE) of an optimized crystal structure of Li2AcTl2Cd2.

POSCAR file:
```
Li2AcTl2Cd2
1.0
4.756 0.000 0.000
-2.378 4.540 0.076
0.000 -1.450 8.137
Li Ac Tl Cd
2 1 2 2
Direct
0.129 0.257 0.434 Li
0.871 0.743 0.566 Li
0.000 0.000 0.000 Ac
0.715 0.430 0.225 Tl
0.285 0.570 0.775 Tl
0.587 0.174 0.671 Cd
0.413 0.826 0.329 Cd
```

Properties
final energy = -2.331 eV/atom
crystal system = monoclinic
symmetry = C2/m
total magnetic moment = 0.0 μB per formula unit
ΔE_f = -0.26 eV/atom